The following is a DFT calculation (PBEsol) of an optimized crystal structure of CuCBr2.

SG ... No. 166
Uncorrected formation energy ... 1485 meV per atom
Total magnetization ... 0.0005 μB per atom
Fermi-level density of states ... 2.52 states/eV/f.u.
Energy relative to the lowest polymorph listed for this composition ... 162.5 meV per atom

Unit cell a=3.4946 b=3.4946 c=7.7133 alpha=76.91 beta=76.91 gamma=60.00
Last column: nearest neighbours and their distance in Å.
Element x y z (fractional)
C1 0.5000 0.5000 0.5000  6 Br 2.48
Br1 0.8980 0.8980 0.3061  1 Cu 2.28, 3 C 2.48
Cu1 0.0000 0.0000 0.0000  2 Br 2.28
Br2 0.1020 0.1020 0.6939  1 Cu 2.28, 3 C 2.48